Record 1
Entry from Alexandria via LeMat-Bulk: crystalline Zr2TaPt at its relaxed geometry (PBE).

Output
- DOS(E_F): 1.08 states/eV per atom
- Raw total energy: -9.007 eV/atom
- DFT formation energy: -0.260 eV per atom

a b c (Å): 2.9689 4.6761 5.6236
angles (deg): 90.00 101.65 90.00
With the nearest neighbours (Å) after each atom.
Fractional positions:
Zr  0.2381  0.0000  0.2520  2 Ta 2.88, 4 Zr 2.90-2.97, 2 Pt 2.92
Zr  0.7619  0.0000  0.7480  2 Ta 2.88, 4 Zr 2.90-2.97, 2 Pt 2.92
Ta  0.0000  0.5000  0.5000  4 Zr 2.88, 2 Pt 2.90, 2 Ta 2.97
Pt  0.5000  0.5000  0.0000  2 Ta 2.90, 4 Zr 2.92, 2 Pt 2.97



Record 2
Entry from Alexandria via LeMat-Bulk: crystalline Zr2TaPt at its relaxed geometry (PBE).

Output
- DOS(E_F): 1.09 states/eV per atom
- Raw total energy: -9.060 eV/atom
- DFT formation energy: -0.313 eV per atom

a b c (Å): 3.7720 4.5451 9.0248
angles (deg): 90.00 90.00 90.00
With the nearest neighbours (Å) after each atom.
Fractional positions:
Zr  0.0000  0.0000  0.2393  2 Pt 2.87, 4 Zr 2.96, 4 Ta 3.02-3.13
Zr  0.0000  0.0000  0.7607  2 Pt 2.87, 4 Zr 2.96, 4 Ta 3.02-3.13
Zr  0.5000  0.5000  0.2607  2 Pt 2.87, 4 Zr 2.96, 4 Ta 3.02-3.13
Zr  0.5000  0.5000  0.7393  2 Pt 2.87, 4 Zr 2.96, 4 Ta 3.02-3.13
Ta  0.0000  0.5000  0.0000  4 Pt 2.95, 8 Zr 3.02-3.13
Ta  0.5000  0.0000  0.5000  4 Pt 2.95, 8 Zr 3.02-3.13
Pt  0.0000  0.5000  0.5000  4 Zr 2.87, 4 Ta 2.95
Pt  0.5000  0.0000  0.0000  4 Zr 2.87, 4 Ta 2.95



Record 3
Entry from Alexandria via LeMat-Bulk: crystalline Zr2TaPt at its relaxed geometry (PBE).

Output
- DOS(E_F): 1.05 states/eV per atom
- Raw total energy: -9.173 eV/atom
- DFT formation energy: -0.425 eV per atom

a b c (Å): 4.7135 4.7135 3.4709
angles (deg): 90.00 90.00 90.00
With the nearest neighbours (Å) after each atom.
Fractional positions:
Zr  0.0000  0.5000  0.0000  4 Pt 2.93, 4 Ta 2.93
Zr  0.5000  0.0000  0.0000  4 Pt 2.93, 4 Ta 2.93
Ta  0.0000  0.0000  0.5000  8 Zr 2.93
Pt  0.5000  0.5000  0.5000  8 Zr 2.93